{"formula": "La4Te5S", "functional": "PBE", "state": "optimized geometry", "density_g_cm3": 5.3, "space_group": "C2/m (12)", "formation_energy_uncorrected_kj_per_mol_fu": -1493, "energy_ev_per_cell": -55.017, "volume_a3_per_cell": 387.2, "cell": [[4.524, 0.000, 0.000], [0.000, 8.860, -0.755], [-2.262, -2.061, 9.835]], "species": ["S", "Te", "La", "La", "Te", "La", "Te", "Te", "La", "Te"], "fractional_positions": [[0.500, 0.000, 0.000], [0.162, 0.352, 0.324], [0.998, 0.756, 0.996], [0.002, 0.244, 0.004], [0.837, 0.149, 0.674], [0.325, 0.882, 0.650], [0.500, 0.500, 0.000], [0.838, 0.648, 0.676], [0.675, 0.118, 0.350], [0.163, 0.851, 0.326]]}

---

{"formula": "Pr5InHg", "functional": "PBE", "state": "optimized geometry", "density_g_cm3": 7.4, "space_group": "C2/c (15)", "energy_ev_per_cell": -56.117, "formation_energy_ev_per_atom": -0.160, "volume_a3_per_cell": 456.2, "cell": [[-5.002, -1.024, 3.472], [-0.412, -5.865, -1.885], [8.799, -1.137, 8.566]], "species": ["Pr", "Pr", "In", "Hg", "Pr", "Pr", "Pr", "Hg", "Pr", "Pr", "Pr", "Pr", "Pr", "In"], "fractional_positions": [[0.766, 0.490, 0.555], [0.526, 0.937, 0.359], [0.593, 0.407, 0.250], [0.000, 0.000, 0.000], [0.474, 0.063, 0.641], [0.937, 0.526, 0.859], [0.023, 0.977, 0.750], [0.000, 0.000, 0.500], [0.490, 0.766, 0.055], [0.510, 0.234, 0.945], [0.234, 0.510, 0.445], [0.063, 0.474, 0.141], [0.977, 0.023, 0.250], [0.407, 0.593, 0.750]]}

---

{"formula": "Cs2BiAu", "functional": "PBE", "state": "optimized geometry", "density_g_cm3": 6.2, "relative_energy_mev_per_atom": 450, "space_group": "Fm-3m (225)", "energy_ev_per_cell": -8.842, "formation_energy_ev_per_atom": 0.006, "volume_a3_per_cell": 179.5, "cell": [[-5.637, -2.877, 0.195], [-4.403, 1.366, -4.340], [-1.527, -4.274, -4.414]], "species": ["Bi", "Cs", "Au", "Cs"], "fractional_positions": [[0.500, 0.500, 0.500], [0.750, 0.750, 0.750], [0.000, 0.000, 0.000], [0.250, 0.250, 0.250]]}

---

{"formula": "Dy6Er8Al", "functional": "PBE", "state": "optimized geometry", "density_g_cm3": 8.2, "space_group": "P-3 (147)", "energy_ev_per_cell": -64.272, "formation_energy_ev_per_atom": 0.239, "volume_a3_per_cell": 472.4, "cell": [[-6.480, -1.084, -1.149], [0.743, -8.260, 3.605], [-2.111, 7.053, 5.252]], "species": ["Dy", "Er", "Er", "Er", "Dy", "Dy", "Er", "Dy", "Dy", "Er", "Er", "Er", "Er", "Al", "Dy"], "fractional_positions": [[0.608, 0.388, 0.318], [0.118, 0.011, 0.691], [0.882, 0.691, 0.680], [0.812, 0.333, 0.667], [0.608, 0.682, 0.070], [0.392, 0.318, 0.930], [0.188, 0.667, 0.333], [0.392, 0.612, 0.682], [0.608, 0.930, 0.612], [0.118, 0.309, 0.320], [0.882, 0.320, 0.011], [0.882, 0.989, 0.309], [0.118, 0.680, 0.989], [0.500, 0.000, 0.000], [0.392, 0.070, 0.388]]}

---

{"formula": "Zr2AgHAu", "functional": "PBE", "state": "optimized geometry", "density_g_cm3": 9.9, "relative_energy_mev_per_atom": 53, "space_group": "P4/mmm (123)", "energy_ev_per_cell": -27.737, "volume_a3_per_cell": 81.5, "cell": [[-2.207, -2.402, 2.840], [3.388, -2.661, 0.383], [1.547, 2.439, 3.264]], "species": ["H", "Ag", "Zr", "Zr", "Au"], "fractional_positions": [[0.000, 0.000, 0.000], [0.500, 0.500, 0.500], [0.500, 0.000, 0.000], [0.000, 0.500, 0.000], [0.000, 0.000, 0.500]]}

---

{"formula": "CuWSe", "functional": "PBE", "state": "optimized geometry", "density_g_cm3": 10.6, "relative_energy_mev_per_atom": 198, "space_group": "P3m1 (156)", "formation_energy_uncorrected_kj_per_mol_fu": 87, "energy_ev_per_cell": -19.637, "volume_a3_per_cell": 51.1, "cell": [[3.055, 0.000, 0.000], [-1.528, 2.646, 0.000], [0.000, 0.000, 6.325]], "species": ["Cu", "W", "Se"], "fractional_positions": [[0.000, 0.000, 0.977], [0.333, 0.667, 0.654], [0.667, 0.333, 0.370]]}